{"formula": "MgNiSnO4", "functional": "PBE with a Hubbard U", "state": "relaxed", "total_magnetization_mub_per_fu": 2.00, "mass_density_g_cm3": 5.32, "energy_ev_per_cell": -81.39, "lattice": [[6.0996, 0.0000, 0.0000], [3.0498, 5.3481, 0.0122], [3.0498, 1.6409, 5.0901]], "species": ["Ni", "Ni", "Sn", "Sn", "O", "O", "O", "O", "O", "O", "O", "O", "Mg", "Mg"], "frac_coords": [[0.0000, 0.0000, 0.5000], [0.5000, 0.0000, 0.5000], [0.0000, 0.5000, 0.5000], [0.0000, 0.0000, 0.0000], [0.7627, 0.7553, 0.7193], [0.2373, 0.2447, 0.2807], [0.7696, 0.2464, 0.7464], [0.7627, 0.2193, 0.2553], [0.2373, 0.7807, 0.7447], [0.2304, 0.7536, 0.2536], [0.7624, 0.7536, 0.2536], [0.2376, 0.2464, 0.7464], [0.3646, 0.3854, 0.8854], [0.6354, 0.6146, 0.1146]]}